(1)
Computed, not measured: a relaxed structure of NaBe2Ga at the PBE level of DFT.

Output
For the formation energy, the calculation gives 451 meV per atom. As for the crystal system: tetragonal. Its calculated volume is 295.2 Å³ per cell. The final energy is -2.4989 eV/atom. The density of states at the Fermi level comes out at 1.3 states/eV/f.u.

Lattice parameters (Å, degrees): 4.3143 4.3143 15.8616 90.00 90.00 90.00
Closest atoms and distances in Å follow each position.
Space group I4_1/amd (No. 141, origin choice 2)
Unique sites:
Na 0.0000 0.2500 0.3750  4 Ga 3.05, 8 Be 3.12
Be 0.0000 0.0000 0.0000  2 Be 2.16, 2 Ga 2.26
Ga 0.0000 0.2500 0.8750  4 Be 2.26


(2)
Computed, not measured: a relaxed structure of NaBe2Ga2 at the PBE level of DFT.

Output
The polymorph energy (0 for the lowest one) is 0.000 eV/atom. For the formation energy, the calculation gives 188 meV per atom. As for the crystal system: tetragonal. Its calculated volume is 160.7 Å³ per cell. The final energy is -2.7770 eV/atom. The density of states at the Fermi level comes out at 2.0 states/eV/f.u.

Lattice parameters (Å, degrees): 3.9135 3.9135 10.4910 90.00 90.00 90.00
Closest atoms and distances in Å follow each position.
Space group I4/mmm (No. 139)
Unique sites:
Na 0.0000 0.0000 0.0000  8 Ga 3.06, 8 Be 3.27
Be 0.0000 0.5000 0.2500  4 Ga 2.36
Ga 0.0000 0.0000 0.3764  4 Be 2.36, 1 Ga 2.59


(3)
Computed, not measured: a relaxed structure of NaBeGa2 at the PBE level of DFT.

Output
For the formation energy, the calculation gives 298 meV per atom. As for the crystal system: tetragonal. Its calculated volume is 359.8 Å³ per cell. The final energy is -2.4769 eV/atom. The density of states at the Fermi level comes out at 1.4 states/eV/f.u.

Lattice parameters (Å, degrees): 4.8027 4.8027 15.5994 90.00 90.00 90.00
Closest atoms and distances in Å follow each position.
Space group I-42d (No. 122)
Unique sites:
Na 0.0000 0.0000 0.0000  4 Ga 3.07, 4 Be 3.40
Be 0.0000 0.0000 0.5000  4 Ga 2.32
Ga 0.0755 0.7500 0.6250  2 Be 2.32, 2 Ga 2.51


(4)
Computed, not measured: a relaxed structure of NaBe2Ga2 at the PBE level of DFT.

Output
The polymorph energy (0 for the lowest one) is 0.028 eV/atom. For the formation energy, the calculation gives 216 meV per atom. As for the crystal system: tetragonal. Its calculated volume is 146.6 Å³ per cell. The final energy is -2.7491 eV/atom. The density of states at the Fermi level comes out at 1.1 states/eV/f.u.

Lattice parameters (Å, degrees): 7.5872 7.5872 2.5465 90.00 90.00 90.00
Closest atoms and distances in Å follow each position.
Space group P4/mbm (No. 127)
Unique sites:
Na 0.0000 0.0000 0.0000  2 Na 2.55
Be 0.1387 0.3613 0.0000  2 Be 2.55, 6 Ga 2.55-2.58
Ga 0.1521 0.6521 0.5000  2 Ga 2.55, 6 Be 2.55-2.58


(5)
Computed, not measured: a relaxed structure of NaBe2GaO4 at the PBE level of DFT.

Output
The uncorrected formation energy comes out at -2.08 eV/atom. As for the crystal system: tetragonal. Its calculated volume is 155.5 Å³ per cell. The final energy is -6.0330 eV/atom. The density of states at the Fermi level comes out at 0.0 states/eV/f.u.

Lattice parameters (Å, degrees): 4.2640 4.2640 8.5550 90.00 90.00 90.00
Closest atoms and distances in Å follow each position.
Space group I-42m (No. 121)
Unique sites:
Na 0.0000 0.0000 0.0000  4 O 2.11
Be 0.0000 0.5000 0.2500  4 O 1.73
Ga 0.0000 0.0000 0.5000  4 O 1.88
O 0.2243 0.2243 0.3476  2 Be 1.73, 1 Ga 1.88


(6)
Computed, not measured: a relaxed structure of NaBeGa2O4 at the PBE level of DFT.

Output
The uncorrected formation energy comes out at -1.78 eV/atom. As for the crystal system: tetragonal. Its calculated volume is 182.1 Å³ per cell. The final energy is -5.6461 eV/atom. The density of states at the Fermi level comes out at 1.2 states/eV/f.u.

Lattice parameters (Å, degrees): 4.7836 4.7836 7.9599 90.00 90.00 90.00
Closest atoms and distances in Å follow each position.
Space group I-42m (No. 121)
Unique sites:
Na 0.0000 0.0000 0.0000  4 O 2.28
Be 0.0000 0.0000 0.5000  4 O 1.69
Ga 0.0000 0.5000 0.2500  4 O 1.98
O 0.1990 0.1990 0.6274  1 Be 1.69


(7)
Computed, not measured: a relaxed structure of Na2BeGaO4 at the PBE level of DFT.

Output
The uncorrected formation energy comes out at -1.60 eV/atom. As for the crystal system: tetragonal. Its calculated volume is 176.2 Å³ per cell. The final energy is -5.2522 eV/atom. The density of states at the Fermi level comes out at 5.4 states/eV/f.u.

Lattice parameters (Å, degrees): 5.8641 5.8641 5.1247 90.00 90.00 90.00
Closest atoms and distances in Å follow each position.
Space group I-42m (No. 121)
Unique sites:
Na 0.0000 0.5000 0.0000  8 O 2.51-2.65, 2 Na 2.56
Be 0.0000 0.0000 0.0000  4 O 1.68
Ga 0.0000 0.0000 0.5000  4 O 1.88
O 0.1482 0.1482 0.7766  1 Be 1.68, 1 Ga 1.88


(8)
Computed, not measured: a relaxed structure of NaBe2GaPd at the PBE level of DFT.

Output
For the formation energy, the calculation gives 144 meV per atom. As for the crystal system: tetragonal. Its calculated volume is 92.1 Å³ per cell. The final energy is -3.2547 eV/atom. The density of states at the Fermi level comes out at 1.3 states/eV/f.u.

Lattice parameters (Å, degrees): 4.4190 4.4190 4.7164 90.00 90.00 90.00
Closest atoms and distances in Å follow each position.
Space group P4/mmm (No. 123)
Unique sites:
Na 0.0000 0.0000 0.0000  4 Ga 3.12, 8 Be 3.23
Be 0.0000 0.5000 0.5000  2 Pd 2.21
Ga 0.5000 0.5000 0.0000  2 Pd 2.36
Pd 0.5000 0.5000 0.5000  4 Be 2.21, 2 Ga 2.36


(9)
Computed, not measured: a relaxed structure of Na2BeGaS at the PBE level of DFT.

Output
The uncorrected formation energy comes out at 0.57 eV/atom. As for the crystal system: tetragonal. Its calculated volume is 151.6 Å³ per cell. The final energy is -2.1305 eV/atom. The density of states at the Fermi level comes out at 2.4 states/eV/f.u.

Lattice parameters (Å, degrees): 5.6814 5.6814 4.6954 90.00 90.00 90.00
Closest atoms and distances in Å follow each position.
Space group P4/mmm (No. 123)
Unique sites:
Na 0.0000 0.5000 0.0000  2 Ga 2.84
Be 0.0000 0.0000 0.5000  8 Na 3.69, 4 S 4.02
Ga 0.5000 0.5000 0.0000  2 S 2.35
S 0.5000 0.5000 0.5000  2 Ga 2.35


(10)
Computed, not measured: a relaxed structure of NaBe2GaS4 at the PBE level of DFT.

Output
The uncorrected formation energy comes out at -0.87 eV/atom. As for the crystal system: tetragonal. Its calculated volume is 297.1 Å³ per cell. The final energy is -4.4094 eV/atom. The density of states at the Fermi level comes out at 0.0 states/eV/f.u.

Lattice parameters (Å, degrees): 5.3076 5.3076 10.5479 90.00 90.00 90.00
Closest atoms and distances in Å follow each position.
Space group I-42m (No. 121)
Unique sites:
Na 0.0000 0.0000 0.0000  4 S 2.55
Be 0.0000 0.5000 0.2500  4 S 2.18
Ga 0.0000 0.0000 0.5000  4 S 2.31
S 0.2289 0.2289 0.3536  2 Be 2.18, 1 Ga 2.31


(11)
Computed, not measured: a relaxed structure of NaBeGa2Se at the PBE level of DFT.

Output
The uncorrected formation energy comes out at 0.96 eV/atom. As for the crystal system: tetragonal. Its calculated volume is 131.8 Å³ per cell. The final energy is -1.9573 eV/atom. The density of states at the Fermi level comes out at 2.4 states/eV/f.u.

Lattice parameters (Å, degrees): 5.2564 5.2564 4.7684 90.00 90.00 90.00
Closest atoms and distances in Å follow each position.
Space group P4/mmm (No. 123)
Unique sites:
Na 0.0000 0.0000 0.0000  2 Be 2.38, 4 Ga 2.63
Be 0.0000 0.0000 0.5000  2 Na 2.38
Ga 0.0000 0.5000 0.0000  2 Na 2.63
Se 0.5000 0.5000 0.5000  8 Ga 3.55, 4 Be 3.72


(12)
Computed, not measured: a relaxed structure of NaBe2GaSe4 at the PBE level of DFT.

Output
The uncorrected formation energy comes out at -0.71 eV/atom. As for the crystal system: orthorhombic. Its calculated volume is 703.6 Å³ per cell. The final energy is -3.9272 eV/atom. The density of states at the Fermi level comes out at 0.0 states/eV/f.u.

Lattice parameters (Å, degrees): 7.9277 7.9314 11.1898 90.00 90.00 90.00
Closest atoms and distances in Å follow each position.
Space group Fmm2 (No. 42)
Unique sites:
Na 0.0000 0.0000 0.0000  4 Se 2.68
Be 0.2500 0.2500 0.2497  4 Se 2.31
Ga 0.0000 0.0000 0.4995  4 Se 2.45-2.46
Se 0.0000 0.2318 0.6450  2 Be 2.31, 1 Ga 2.46
Se 0.2321 0.0000 0.3544  2 Be 2.31, 1 Ga 2.45


(13)
Computed, not measured: a relaxed structure of NaTa2BeGa at the PBE level of DFT.

Output
For the formation energy, the calculation gives 2069 meV per atom. As for the crystal system: tetragonal. Its calculated volume is 91.8 Å³ per cell. The final energy is -4.2870 eV/atom. The density of states at the Fermi level comes out at 3.3 states/eV/f.u.

Lattice parameters (Å, degrees): 4.7068 4.7068 4.1445 90.00 90.00 90.00
Closest atoms and distances in Å follow each position.
Space group P4/mmm (No. 123)
Unique sites:
Na 0.0000 0.0000 0.0000  2 Be 2.07
Ta 0.0000 0.5000 0.0000  2 Na 2.35
Be 0.0000 0.0000 0.5000  2 Na 2.07
Ga 0.5000 0.5000 0.5000  8 Ta 3.14, 4 Be 3.33


(14)
Computed, not measured: a relaxed structure of NaBeGaTc2 at the PBE level of DFT.

Output
For the formation energy, the calculation gives 873 meV per atom. As for the crystal system: tetragonal. Its calculated volume is 79.4 Å³ per cell. The final energy is -4.8881 eV/atom. The density of states at the Fermi level comes out at 5.4 states/eV/f.u.

Lattice parameters (Å, degrees): 4.2100 4.2100 4.4800 90.00 90.00 90.00
Closest atoms and distances in Å follow each position.
Space group P4/mmm (No. 123)
Unique sites:
Na 0.0000 0.0000 0.0000  2 Be 2.24
Be 0.0000 0.0000 0.5000  4 Tc 2.10, 2 Na 2.24
Ga 0.5000 0.5000 0.0000  4 Na 2.98, 8 Tc 3.07
Tc 0.0000 0.5000 0.5000  2 Be 2.10


(15)
Computed, not measured: a relaxed structure of NaZr2BeGa at the PBE level of DFT.

Output
For the formation energy, the calculation gives 1520 meV per atom. As for the crystal system: tetragonal. Its calculated volume is 111.8 Å³ per cell. The final energy is -3.5141 eV/atom. The density of states at the Fermi level comes out at 4.1 states/eV/f.u.

Lattice parameters (Å, degrees): 4.9228 4.9228 4.6152 90.00 90.00 90.00
Closest atoms and distances in Å follow each position.
Space group P4/mmm (No. 123)
Unique sites:
Na 0.0000 0.0000 0.0000  2 Ga 2.31, 4 Zr 2.46
Zr 0.0000 0.5000 0.0000  2 Na 2.46
Be 0.5000 0.5000 0.5000  8 Zr 3.37, 4 Ga 3.48
Ga 0.0000 0.0000 0.5000  2 Na 2.31


(16)
Computed, not measured: a relaxed structure of BeNbGa2 at the PBE level of DFT.

Output
For the formation energy, the calculation gives -164 meV per atom. As for the crystal system: tetragonal. Its calculated volume is 57.5 Å³ per cell. The final energy is -5.1267 eV/atom. The density of states at the Fermi level comes out at 2.1 states/eV/f.u.

Lattice parameters (Å, degrees): 3.8393 3.8393 3.8979 90.00 90.00 90.00
Closest atoms and distances in Å follow each position.
Space group P4/mmm (No. 123)
Unique sites:
Be 0.0000 0.0000 0.0000  4 Nb 2.71, 8 Ga 2.74
Nb 0.5000 0.5000 0.0000  4 Be 2.71, 8 Ga 2.74
Ga 0.0000 0.5000 0.5000  4 Ga 2.71, 4 Nb 2.74, 4 Be 2.74


(17)
Computed, not measured: a relaxed structure of Be3NbGa at the PBE level of DFT.

Output
The polymorph energy (0 for the lowest one) is 0.698 eV/atom. For the formation energy, the calculation gives 1514 meV per atom. As for the crystal system: cubic. Its calculated volume is 89.3 Å³ per cell. The final energy is -3.3413 eV/atom. The density of states at the Fermi level comes out at 3.2 states/eV/f.u.

Lattice parameters (Å, degrees): 4.4693 4.4693 4.4693 90.00 90.00 90.00
Closest atoms and distances in Å follow each position.
Space group Pm-3m (No. 221)
Unique sites:
Be 0.0000 0.0000 0.5000  2 Nb 2.23
Nb 0.0000 0.0000 0.0000  6 Be 2.23
Ga 0.5000 0.5000 0.5000  12 Be 3.16


(18)
Computed, not measured: a relaxed structure of Be3Nb3Ga2 at the PBE level of DFT.

Output
For the formation energy, the calculation gives -326 meV per atom. As for the crystal system: orthorhombic. Its calculated volume is 435.0 Å³ per cell. The final energy is -6.2557 eV/atom. The density of states at the Fermi level comes out at 1.8 states/eV/f.u.

Lattice parameters (Å, degrees): 3.5702 9.6959 12.5668 90.00 90.00 90.00
Closest atoms and distances in Å follow each position.
Space group Cmcm (No. 63)
Unique sites:
Be 0.0000 0.0952 0.0370  1 Be 2.07, 2 Ga 2.29
Be 0.0000 0.1471 0.7500  2 Ga 2.32, 4 Nb 2.57
Nb 0.0000 0.1255 0.2500  5 Be 2.64-2.84, 4 Ga 2.78
Nb 0.0000 0.4383 0.1179  6 Be 2.56-2.66, 3 Ga 2.75-2.78
Ga 0.0000 0.2795 0.5965  4 Be 2.29-2.45


(19)
Computed, not measured: a relaxed structure of Be2Nb2Ga at the PBE level of DFT.

Output
The polymorph energy (0 for the lowest one) is 0.000 eV/atom. For the formation energy, the calculation gives -289 meV per atom. As for the crystal system: orthorhombic. Its calculated volume is 134.9 Å³ per cell. The final energy is -6.4131 eV/atom. The density of states at the Fermi level comes out at 2.1 states/eV/f.u.

Lattice parameters (Å, degrees): 3.4237 11.4802 3.4320 90.00 90.00 90.00
Closest atoms and distances in Å follow each position.
Space group Cmmm (No. 65)
Unique sites:
Be 0.0000 0.2018 0.0000  2 Be 2.04
Nb 0.0000 0.3660 0.5000  6 Be 2.55
Ga 0.0000 0.0000 0.0000  2 Be 2.32


(20)
Computed, not measured: a relaxed structure of BeNb6Ga3 at the PBE level of DFT.

Output
For the formation energy, the calculation gives -61 meV per atom. As for the crystal system: monoclinic. Its calculated volume is 339.1 Å³ per cell. The final energy is -7.3833 eV/atom. The density of states at the Fermi level comes out at 5.2 states/eV/f.u.

Lattice parameters (Å, degrees): 4.9890 7.4682 10.3352 90.00 118.28 90.00
Closest atoms and distances in Å follow each position.
Space group P2_1/c (No. 14)
Unique sites:
Be 0.0000 0.0000 0.0000  6 Nb 2.31-2.48
Nb 0.0946 0.0537 0.2385  1 Be 2.31, 1 Ga 2.52
Nb 0.1306 0.6896 0.0682  1 Be 2.42, 1 Ga 2.67
Nb 0.4806 0.1591 0.0609  1 Be 2.48, 3 Ga 2.64-2.77, 1 Nb 2.74
Ga 0.3611 0.1190 0.7392  8 Nb 2.72-3.00, 1 Ga 3.00
Ga 0.5000 0.0000 0.5000  6 Nb 2.52-2.67